No. 1
First-principles (PBE) data for PSeS2Cl after structural relaxation, as listed in Alexandria.

Cell lengths 4.4338, 4.4338, 5.3937 Å; angles 90.00, 90.00, 90.00 degrees
Sites, in units of the cell vectors:
Se 0.5000 0.5000 0.5000
S 0.5000 0.0000 0.0000
S 0.0000 0.5000 0.0000
P 0.0000 0.0000 0.5000
Cl 0.0000 0.0000 0.0000

Output
crystal system: tetragonal
uncorrected formation energy: 1.3717 eV per atom
total energy: -12.1 eV per cell
ΔE to the lowest computed polymorph: 76.9 kJ per mole of atoms
M_tot: 0.00 μB/f.u.
space group: P4/mmm, No. 123

---

No. 2
First-principles (PBE) data for PSeSCl2 after structural relaxation, as listed in Alexandria.

Cell lengths 4.6085, 4.6085, 5.0239 Å; angles 90.00, 90.00, 90.00 degrees
Each line ends with the local moment (μB).
Sites, in units of the cell vectors:
Cl 0.0000 0.5000 0.0000  0.06
Cl 0.5000 0.0000 0.0000  0.06
S 0.0000 0.0000 0.5000  0.03
P 0.0000 0.0000 0.0000  0.01
Se 0.5000 0.5000 0.5000  0.56

Output
crystal system: tetragonal
uncorrected formation energy: 0.4404 eV per atom
total energy: -14.5 eV per cell
ΔE to the lowest computed polymorph: 0.0 kJ per mole of atoms
M_tot: 1.09 μB/f.u.
space group: P4/mmm, No. 123

---

No. 3
First-principles (PBE) data for PSeS2Cl after structural relaxation, as listed in Alexandria.

Cell lengths 4.6593, 4.6593, 4.5127 Å; angles 90.00, 90.00, 90.00 degrees
Sites, in units of the cell vectors:
Se 0.5000 0.5000 0.5000
S 0.0000 0.5000 0.0000
S 0.5000 0.0000 0.0000
P 0.0000 0.0000 0.0000
Cl 0.0000 0.0000 0.5000

Output
crystal system: tetragonal
uncorrected formation energy: 0.5750 eV per atom
total energy: -16.1 eV per cell
ΔE to the lowest computed polymorph: 0.0 kJ per mole of atoms
M_tot: 0.00 μB/f.u.
space group: P4/mmm, No. 123

---

No. 4
First-principles (PBE) data for P2SeSCl after structural relaxation, as listed in Alexandria.

Cell lengths 4.9234, 4.9234, 4.7448 Å; angles 90.00, 90.00, 90.00 degrees
Each line ends with the local moment (μB).
Sites, in units of the cell vectors:
P 0.5000 0.0000 0.0000  0.19
P 0.0000 0.5000 0.0000  0.19
Se 0.0000 0.0000 0.0000  -0.01
Cl 0.5000 0.5000 0.5000  0.00
S 0.0000 0.0000 0.5000  -0.03

Output
crystal system: tetragonal
uncorrected formation energy: 1.0936 eV per atom
total energy: -14.8 eV per cell
ΔE to the lowest computed polymorph: 18.2 kJ per mole of atoms
M_tot: 0.75 μB/f.u.
space group: P4/mmm, No. 123

---

No. 5
First-principles (PBE) data for PSeSCl2 after structural relaxation, as listed in Alexandria.

Cell lengths 4.8848, 4.8848, 5.1504 Å; angles 90.00, 90.00, 90.00 degrees
Each line ends with the local moment (μB).
Sites, in units of the cell vectors:
Cl 0.0000 0.5000 0.0000  0.05
Cl 0.5000 0.0000 0.0000  0.05
P 0.5000 0.5000 0.5000  0.92
S 0.0000 0.0000 0.5000  -0.14
Se 0.0000 0.0000 0.0000  0.04

Output
crystal system: tetragonal
uncorrected formation energy: 0.7565 eV per atom
total energy: -12.9 eV per cell
ΔE to the lowest computed polymorph: 30.5 kJ per mole of atoms
M_tot: 2.00 μB/f.u.
space group: P4/mmm, No. 123

---

No. 6
First-principles (PBE) data for PSeS2Cl after structural relaxation, as listed in Alexandria.

Cell lengths 4.9060, 4.9060, 4.7417 Å; angles 90.00, 90.00, 90.00 degrees
Each line ends with the local moment (μB).
Sites, in units of the cell vectors:
P 0.5000 0.5000 0.5000  0.63
S 0.5000 0.0000 0.0000  -0.10
S 0.0000 0.5000 0.0000  -0.10
Se 0.0000 0.0000 0.0000  -0.02
Cl 0.0000 0.0000 0.5000  0.03

Output
crystal system: tetragonal
uncorrected formation energy: 0.9469 eV per atom
total energy: -14.3 eV per cell
ΔE to the lowest computed polymorph: 35.9 kJ per mole of atoms
M_tot: 1.05 μB/f.u.
space group: P4/mmm, No. 123

---

No. 7
First-principles (PBE) data for P2SeSCl after structural relaxation, as listed in Alexandria.

Cell lengths 4.9431, 4.9431, 4.6946 Å; angles 90.00, 90.00, 90.00 degrees
Each line ends with the local moment (μB).
Sites, in units of the cell vectors:
P 0.5000 0.0000 0.0000  0.16
P 0.0000 0.5000 0.0000  0.16
Cl 0.0000 0.0000 0.5000  0.02
Se 0.0000 0.0000 0.0000  -0.01
S 0.5000 0.5000 0.5000  -0.10

Output
crystal system: tetragonal
uncorrected formation energy: 1.1484 eV per atom
total energy: -14.5 eV per cell
ΔE to the lowest computed polymorph: 23.5 kJ per mole of atoms
M_tot: 0.58 μB/f.u.
space group: P4/mmm, No. 123

---

No. 8
First-principles (PBE) data for PSeS2Cl after structural relaxation, as listed in Alexandria.

Cell lengths 4.7418, 4.7418, 5.0529 Å; angles 90.00, 90.00, 90.00 degrees
Sites, in units of the cell vectors:
S 0.0000 0.5000 0.0000
S 0.5000 0.0000 0.0000
Cl 0.5000 0.5000 0.5000
Se 0.0000 0.0000 0.0000
P 0.0000 0.0000 0.5000

Output
crystal system: tetragonal
uncorrected formation energy: 0.9773 eV per atom
total energy: -14.1 eV per cell
ΔE to the lowest computed polymorph: 38.8 kJ per mole of atoms
M_tot: 0.00 μB/f.u.
space group: P4/mmm, No. 123

---

- Which formula does entry 8 have?
  PSeS2Cl

---

- Among the records above, which one has the highest M_tot?
  number 5